Ac2Sb4Ir3Rh | GGA-PBE | relaxed

The calculation puts the density of states at the Fermi level at 8.721 states/eV per cell. The calculated total energy comes out at -6.5705 eV/atom. The calculation puts the volume at 229.9 Å³/cell.

It has space group P-4m2 (No. 115), with a = 4.678 Å, b = 4.678 Å, c = 10.508 Å, α = 90.00°, β = 90.00° and γ = 90.00°. The distinct sites, in fractional coordinates, are Ac at (0.000, 0.500, 0.246), Sb at (0.000, 0.000, 0.500), Sb at (0.000, 0.500, 0.872), Sb at (0.500, 0.500, 0.500), Ir at (0.000, 0.000, 0.000), Ir at (0.000, 0.500, 0.621) and Rh at (0.500, 0.500, 0.000).

***

AcScIrRh | GGA-PBE | relaxed

For the formation energy, the calculation gives -561 meV/atom. The calculation puts the density of states at the Fermi level at 10.395 states/eV per cell. The calculated total energy comes out at -7.2243 eV/atom. The calculation puts the volume at 340.2 Å³/cell.

It has space group F-43m (No. 216), with a = 6.981 Å, b = 6.981 Å, c = 6.981 Å, α = 90.00°, β = 90.00° and γ = 90.00°. The distinct sites, in fractional coordinates, are Ac at (0.000, 0.000, 0.000), Sc at (0.000, 0.000, 0.500), Ir at (0.250, 0.250, 0.750) and Rh at (0.250, 0.250, 0.250).

***

Ac6IrRh2Se3 | GGA-PBE | relaxed

The calculation puts the density of states at the Fermi level at 12.272 states/eV per cell. The calculated total energy comes out at -6.1555 eV/atom. The calculation puts the volume at 746.5 Å³/cell.

It has space group C2/m (No. 12), with a = 7.515 Å, b = 13.004 Å, c = 8.036 Å, α = 90.00°, β = 108.10° and γ = 90.00°. The distinct sites, in fractional coordinates, are Ac at (0.241, 0.166, 0.224), Ac at (0.243, 0.500, 0.224), Ir at (0.000, 0.000, 0.000), Rh at (0.000, 0.334, 0.000), Se at (0.000, 0.167, 0.500) and Se at (0.000, 0.500, 0.500).

***

Ac8IrRh3Se4 | GGA-PBE | relaxed

The calculation puts the density of states at the Fermi level at 27.358 states/eV per cell. The calculated total energy comes out at -6.1246 eV/atom. The calculation puts the volume at 1493.1 Å³/cell.

It has space group R-3m (No. 166, hexagonal axes), with a = 8.6637 Å, b = 8.6637 Å, c = 22.9697 Å, α = 90.00°, β = 90.00° and γ = 120.00°. The distinct sites, in fractional coordinates, are Ac at (0.0000, 0.0000, 0.2415), Ac at (0.0009, 0.5004, 0.2414), Ir at (0.0000, 0.0000, 0.5000), Rh at (0.0000, 0.5000, 0.5000), Se at (0.0000, 0.0000, 0.0000) and Se at (0.0000, 0.5000, 0.0000).

***

Ac2Si3Ir4Rh | GGA-PBE | relaxed

The calculation puts the density of states at the Fermi level at 5.733 states/eV per cell. The calculated total energy comes out at -7.5142 eV/atom. The calculation puts the volume at 188.5 Å³/cell.

It has space group P-4m2 (No. 115), with a = 4.267 Å, b = 4.267 Å, c = 10.349 Å, α = 90.00°, β = 90.00° and γ = 90.00°. The distinct sites, in fractional coordinates, are Ac at (0.000, 0.500, 0.248), Si at (0.000, 0.000, 0.000), Si at (0.000, 0.500, 0.623), Ir at (0.000, 0.000, 0.500), Ir at (0.000, 0.500, 0.864), Ir at (0.500, 0.500, 0.500) and Rh at (0.500, 0.500, 0.000).

***

Ac2Sn4Ir3Rh | GGA-PBE | relaxed

For the formation energy, the calculation gives -639 meV/atom. The calculation puts the density of states at the Fermi level at 7.206 states/eV per cell. The calculated total energy comes out at -6.4553 eV/atom. The calculation puts the volume at 230.7 Å³/cell.

It has space group P-4m2 (No. 115), with a = 4.590 Å, b = 4.590 Å, c = 10.951 Å, α = 90.00°, β = 90.00° and γ = 90.00°. The distinct sites, in fractional coordinates, are Ac at (0.000, 0.500, 0.249), Sn at (0.000, 0.000, 0.500), Sn at (0.000, 0.500, 0.873), Sn at (0.500, 0.500, 0.500), Ir at (0.000, 0.000, 0.000), Ir at (0.000, 0.500, 0.631) and Rh at (0.500, 0.500, 0.000).